Entry from the Open Quantum Materials Database: a geometry-optimized HfFeHgGe structure (PBE-GGA).

abc: 6.551 6.551 6.551
angles: 90.00 90.00 90.00
Space group F-43m (No. 216)
Unique sites:
Hf  0.000  0.000  0.000 (multiplicity 4)
Fe  0.000  0.000  0.500 (multiplicity 4)
Hg  0.250  0.250  0.750 (multiplicity 4)
Ge  0.250  0.250  0.250 (multiplicity 4)

Results
- magnetization (μB per atom) = 0.51
- energy above the most stable polymorph in this dataset (meV per atom) = 0